! Y2C3 | Alexandria | SCAN | PBEsol geometry; values from VASP
&SYSTEM
  ibrav = 0, nat = 20, ntyp = 2
/
ATOMIC_SPECIES
Y 88.91 Y.upf
C 12.01 C.upf
CELL_PARAMETERS angstrom
-4.0729 4.0729 4.0729
4.0729 -4.0729 4.0729
4.0729 4.0729 -4.0729
ATOMIC_POSITIONS crystal
Y 0.0000 0.1008 0.5000
Y 0.0000 0.6008 0.5000
Y 0.1008 0.5000 0.0000
Y 0.3992 0.3992 0.3992
Y 0.5000 0.0000 0.1008
Y 0.5000 0.0000 0.6008
Y 0.6008 0.5000 0.0000
Y 0.8992 0.8992 0.8992
C 0.0428 0.7928 0.2500
C 0.2072 0.9572 0.2500
C 0.2500 0.0428 0.7928
C 0.2500 0.2072 0.9572
C 0.2928 0.5428 0.7500
C 0.4572 0.7072 0.7500
C 0.5428 0.7500 0.2928
C 0.7072 0.7500 0.4572
C 0.7500 0.2928 0.5428
C 0.7500 0.4572 0.7072
C 0.7928 0.2500 0.0428
C 0.9572 0.2500 0.2072
! - total DFT energy (no corrections) (eV per cell) = -351.85
! - total magnetic moment (μB per formula unit) = 0.0
! - calculated formation energy (eV per formula unit) = -1.977
! - crystal system = cubic
! - space-group type = I-43d, No. 220